(1)
Compound: SrScTc2
Source: Alexandria
Functional: PBE
Structure: relaxed

```
8
Lattice="3.4358 0.0000 0.0000 0.0000 4.7966 0.0000 0.0000 0.0000 9.4201" Properties=species:S:1:pos:R:3 pbc="T T T"
Sr 0.0000 0.0000 0.0000
Sr 1.7179 2.3983 0.0000
Sc 0.0000 0.0000 4.7101
Sc 1.7179 2.3983 4.7101
Tc 0.0000 2.3983 2.5970
Tc 0.0000 2.3983 6.8231
Tc 1.7179 0.0000 2.5970
Tc 1.7179 0.0000 6.8231
```

Calculated values
space-group type	Cmmm, No. 65
distance to the lowest polymorph of the same formula	385	meV/atom
raw total energy	-6.592	eV/atom
magnetization	0.000	μB per formula unit

***

(2)
Compound: SrScTc
Source: Alexandria
Functional: PBE
Structure: relaxed

```
3
Lattice="4.6564 0.0000 0.0000 -2.3282 4.0326 0.0000 0.0000 0.0000 3.9377" Properties=species:S:1:pos:R:3 pbc="T T T"
Sr 0.0000 0.0000 0.0000
Sc 0.0000 2.6884 1.9689
Tc 2.3282 1.3442 1.9689
```

Calculated values
space-group type	P-6m2, No. 187
distance to the lowest polymorph of the same formula	263	meV/atom
raw total energy	-5.557	eV/atom
magnetization	0.000	μB per formula unit

***

(3)
Compound: SrScTc
Source: Alexandria
Functional: PBE
Structure: relaxed

```
12
Lattice="7.0067 0.0000 0.0000 0.0000 7.0067 0.0000 0.0000 0.0000 7.0067" Properties=species:S:1:pos:R:3 pbc="T T T"
Sr 0.0000 0.0000 0.0000
Sr 0.0000 3.5034 3.5034
Sr 3.5034 0.0000 3.5034
Sr 3.5034 3.5034 0.0000
Sc 1.7517 1.7517 5.2550
Sc 1.7517 5.2550 1.7517
Sc 5.2550 1.7517 1.7517
Sc 5.2550 5.2550 5.2550
Tc 1.7517 1.7517 1.7517
Tc 1.7517 5.2550 5.2550
Tc 5.2550 1.7517 5.2550
Tc 5.2550 5.2550 1.7517
```

Calculated values
space-group type	F-43m, No. 216
distance to the lowest polymorph of the same formula	1294	meV/atom
raw total energy	-4.526	eV/atom
magnetization	1.729	μB per formula unit

***

(4)
Compound: SrScTc2
Source: Alexandria
Functional: PBE
Structure: relaxed

```
16
Lattice="6.8286 0.0000 0.0000 0.0000 6.8286 0.0000 0.0000 0.0000 6.8286" Properties=species:S:1:pos:R:3 pbc="T T T"
Sr 0.0000 0.0000 0.0000
Sr 0.0000 3.4143 3.4143
Sr 3.4143 0.0000 3.4143
Sr 3.4143 3.4143 0.0000
Sc 0.0000 0.0000 3.4143
Sc 0.0000 3.4143 0.0000
Sc 3.4143 0.0000 0.0000
Sc 3.4143 3.4143 3.4143
Tc 1.7072 1.7072 1.7072
Tc 1.7072 1.7072 5.1215
Tc 1.7072 5.1215 1.7072
Tc 1.7072 5.1215 5.1215
Tc 5.1215 1.7072 1.7072
Tc 5.1215 1.7072 5.1215
Tc 5.1215 5.1215 1.7072
Tc 5.1215 5.1215 5.1215
```

Calculated values
space-group type	Fm-3m, No. 225
distance to the lowest polymorph of the same formula	579	meV/atom
raw total energy	-6.398	eV/atom
magnetization	1.314	μB per formula unit

***

(5)
Compound: SrSc2Tc
Source: Alexandria
Functional: PBE
Structure: relaxed

```
8
Lattice="4.6978 0.0000 0.0000 0.0000 3.5350 0.0000 0.0000 0.0000 13.1422" Properties=species:S:1:pos:R:3 pbc="T T T"
Sr 0.0000 0.0000 0.0000
Sr 0.0000 1.7675 6.5711
Sc 0.0000 0.0000 9.4575
Sc 0.0000 1.7675 2.8865
Sc 2.3489 0.0000 3.9175
Sc 2.3489 1.7675 10.4886
Tc 2.3489 0.0000 8.4730
Tc 2.3489 1.7675 1.9020
```

Calculated values
space-group type	Amm2, No. 38
distance to the lowest polymorph of the same formula	237	meV/atom
raw total energy	-5.941	eV/atom
magnetization	0.000	μB per formula unit

***

(6)
Compound: SrScTc2
Source: Alexandria
Functional: PBE
Structure: relaxed

```
4
Lattice="3.4152 0.0000 0.0000 0.0000 4.7066 0.0000 0.0000 0.0000 4.8287" Properties=species:S:1:pos:R:3 pbc="T T T"
Sr 0.0000 0.0000 0.0000
Sc 1.7076 0.0000 2.4143
Tc 0.0000 2.3533 2.4143
Tc 1.7076 2.3533 0.0000
```

Calculated values
space-group type	Pmmm, No. 47
distance to the lowest polymorph of the same formula	577	meV/atom
raw total energy	-6.401	eV/atom
magnetization	0.084	μB per formula unit

***

Number 1: energy of formation from the pure elements 57.33 kJ per mole of atoms. Number 2: energy of formation from the pure elements 54.93 kJ per mole of atoms. Number 3: energy of formation from the pure elements 154.41 kJ per mole of atoms. Number 4: energy of formation from the pure elements 76.02 kJ per mole of atoms. Number 5: energy of formation from the pure elements 22.80 kJ per mole of atoms. Number 6: energy of formation from the pure elements 75.79 kJ per mole of atoms.